Entry 1:
TcH2Ru2 | the Alexandria database | PBE | relaxed; symmetry = No. 59; total energy = -7.06 eV per atom; size of the total moment = 0.0 Bohr magnetons per cell
1.0
-1.6635 2.2286 0.1422
-1.9338 -1.6357 3.0141
5.3843 3.6715 5.4476
Tc H Ru
2 4 4
direct
0.7500 0.7499 0.9233
0.2500 0.2501 0.0767
0.7500 0.2494 0.5857
0.7500 0.2494 0.2551
0.2500 0.7506 0.7449
0.2500 0.7506 0.4143
0.2500 0.2502 0.7642
0.2500 0.2501 0.4141
0.7500 0.7499 0.5859
0.7500 0.7498 0.2358


Entry 2:
TcHRu2 | the Alexandria database | PBE | relaxed; symmetry = No. 166; total energy = -8.04 eV per atom; size of the total moment = 0.0 Bohr magnetons per cell
1.0
-0.3703 -0.9529 -2.5698
-1.1780 -2.4696 -0.4027
-6.5499 1.7717 -1.2013
Ru Tc H
2 1 1
direct
0.2750 0.2750 0.1751
0.7250 0.7250 0.8249
0.5000 0.5000 0.5000
0.0000 0.0000 0.0000


Entry 3:
TcHRu2 | the Alexandria database | PBE | relaxed; symmetry = No. 225; total energy = -7.41 eV per atom; size of the total moment = 0.0 Bohr magnetons per cell
1.0
-3.7206 -1.5456 -0.9386
-3.2674 0.8858 2.3773
-2.9773 2.4950 -1.4225
Ru Tc H
2 1 1
direct
0.2500 0.2500 0.2500
0.7500 0.7500 0.7500
0.5000 0.5000 0.5000
0.0000 0.0000 0.0000


Entry 4:
Ti2TcHRu | the Alexandria database | PBE | relaxed; symmetry = No. 123; total energy = -8.20 eV per atom; size of the total moment = 0.0 Bohr magnetons per cell
1.0
-0.9734 -1.0904 4.0821
0.8862 -4.1486 -0.8968
3.1773 0.4869 0.8877
Ru Tc H Ti
1 1 1 2
direct
0.0000 0.0000 0.5000
0.5000 0.5000 0.5000
0.0000 0.0000 0.0000
0.0000 0.5000 0.0000
0.5000 0.0000 0.0000


Entry 5:
TiTc2HRu | the Alexandria database | PBE | relaxed; symmetry = No. 123; total energy = -8.36 eV per atom; size of the total moment = 0.0 Bohr magnetons per cell
1.0
3.9030 0.0000 0.0000
0.0000 3.9030 0.0000
0.0000 0.0000 3.9931
Ru Tc H Ti
1 2 1 1
direct
0.5000 0.5000 0.5000
0.0000 0.5000 0.0000
0.5000 0.0000 0.0000
0.0000 0.0000 0.0000
0.0000 0.0000 0.5000


Entry 6:
Ti2TcHRu | the Alexandria database | PBE | relaxed; symmetry = No. 123; total energy = -8.19 eV per atom; size of the total moment = 0.0 Bohr magnetons per cell
1.0
-3.0594 -2.5473 1.8105
3.0889 -2.0798 2.2935
-0.3561 2.1622 2.4403
Ru Tc H Ti
1 1 1 2
direct
0.5000 0.5000 0.5000
0.0000 0.0000 0.5000
0.0000 0.0000 0.0000
0.0000 0.5000 0.0000
0.5000 0.0000 0.0000


Entry 7:
Tl2TcHRu | the Alexandria database | PBE | relaxed; symmetry = No. 123; total energy = -4.85 eV per atom; size of the total moment = 1.0 Bohr magnetons per cell
1.0
-1.8357 -2.6788 3.4577
3.0998 -0.2288 1.4684
-0.9142 3.9021 2.5377
Ru Tl Tc H
1 2 1 1
direct
0.5000 0.5000 0.5000
0.0000 0.0000 0.5000
0.5000 0.0000 0.0000
0.0000 0.5000 0.0000
0.0000 0.0000 0.0000


Entry 8:
VTcHRu2 | the Alexandria database | PBE | relaxed; symmetry = No. 123; total energy = -8.31 eV per atom; size of the total moment = 0.0 Bohr magnetons per cell
1.0
-0.6036 -3.8111 0.3495
3.5351 -0.6908 -1.4271
1.4686 0.0967 3.5911
Ru Tc H V
2 1 1 1
direct
0.0000 0.5000 0.0000
0.5000 0.0000 0.0000
0.0000 0.0000 0.5000
0.0000 0.0000 0.0000
0.5000 0.5000 0.5000


Entry 9:
V2TcHRu | the Alexandria database | PBE | relaxed; symmetry = No. 123; total energy = -8.31 eV per atom; size of the total moment = 0.0 Bohr magnetons per cell
1.0
-1.0239 -3.7908 0.3689
1.7600 -0.1322 3.5270
-3.1773 1.0162 1.6235
Ru Tc H V
1 1 1 2
direct
0.5000 0.5000 0.5000
0.0000 0.0000 0.5000
0.0000 0.0000 0.0000
0.0000 0.5000 0.0000
0.5000 0.0000 0.0000


Entry 10:
VTcHRu2 | the Alexandria database | PBE | relaxed; symmetry = No. 123; total energy = -8.33 eV per atom; size of the total moment = 0.0 Bohr magnetons per cell
1.0
3.8683 0.0000 0.0000
0.0000 3.8683 0.0000
0.0000 0.0000 3.8661
Ru Tc H V
2 1 1 1
direct
0.0000 0.5000 0.0000
0.5000 0.0000 0.0000
0.5000 0.5000 0.5000
0.0000 0.0000 0.0000
0.0000 0.0000 0.5000


Entry 11:
V2TcHRu | the Alexandria database | PBE | relaxed; symmetry = No. 123; total energy = -8.34 eV per atom; size of the total moment = 0.0 Bohr magnetons per cell
1.0
4.1345 0.0000 0.0000
0.0000 4.1345 0.0000
0.0000 0.0000 3.3984
Ru Tc H V
1 1 1 2
direct
0.0000 0.0000 0.5000
0.5000 0.5000 0.5000
0.0000 0.0000 0.0000
0.0000 0.5000 0.0000
0.5000 0.0000 0.0000


Entry 12:
TcHRuW2 | the Alexandria database | PBE | relaxed; symmetry = No. 123; total energy = -9.66 eV per atom; size of the total moment = 0.0 Bohr magnetons per cell
1.0
4.0077 0.0000 0.0000
0.0000 4.0077 0.0000
0.0000 0.0000 3.9191
Ru Tc W H
1 1 2 1
direct
0.5000 0.5000 0.5000
0.0000 0.0000 0.5000
0.0000 0.5000 0.0000
0.5000 0.0000 0.0000
0.0000 0.0000 0.0000